Computed, not measured: BePS2N after structural relaxation at the PBE level of DFT.

```
BePS2N
1.0
4.607 0.000 0.000
0.000 4.607 0.000
0.000 0.000 3.219
Be P S N
1 1 2 1
direct
0.000 0.000 0.000 Be
0.500 0.500 0.500 P
0.000 0.500 0.500 S
0.500 0.000 0.500 S
0.500 0.500 0.000 N
```

- total magnetization (μB/cell) = 0.00
- space group = P4/mmm (123)
- raw formation energy (eV/atom) = 0.705
- energy above the most stable polymorph in this dataset (meV per atom) = 0